Computed, not measured: SmHf2Pd after structural relaxation at the GGA-PBE level of DFT.

Output
electronic total energy = -7.65 eV/atom
DFT formation energy = -0.192 eV per atom

Unit cell a=3.382 b=3.382 c=7.798 alpha=90.00 beta=90.00 gamma=90.00
Element x y z (fractional)
Sm1 0.000 0.000 0.000
Hf1 0.500 0.500 0.295
Hf2 0.500 0.500 0.705
Pd1 0.000 0.000 0.500



Computed, not measured: SmHf2Pd9 after structural relaxation at the GGA-PBE level of DFT.

Output
electronic total energy = -6.82 eV/atom
DFT formation energy = -0.874 eV per atom

Unit cell a=4.062 b=4.062 c=12.198 alpha=90.00 beta=90.00 gamma=90.00
Element x y z (fractional)
Sm1 0.000 0.000 0.000
Hf1 0.000 0.000 0.335
Hf2 0.000 0.000 0.665
Pd1 0.000 0.500 0.178
Pd2 0.000 0.500 0.500
Pd3 0.000 0.500 0.822
Pd4 0.500 0.000 0.178
Pd5 0.500 0.000 0.500
Pd6 0.500 0.000 0.822
Pd7 0.500 0.500 0.000
Pd8 0.500 0.500 0.339
Pd9 0.500 0.500 0.661



Computed, not measured: Sm3HfPd12 after structural relaxation at the GGA-PBE level of DFT.

Output
electronic total energy = -6.24 eV/atom
DFT formation energy = -0.834 eV per atom

Unit cell a=4.130 b=4.130 c=16.547 alpha=90.00 beta=90.00 gamma=90.00
Element x y z (fractional)
Sm1 0.000 0.000 0.000
Sm2 0.000 0.000 0.254
Sm3 0.000 0.000 0.746
Hf1 0.000 0.000 0.500
Pd1 0.000 0.500 0.128
Pd2 0.000 0.500 0.385
Pd3 0.000 0.500 0.615
Pd4 0.000 0.500 0.872
Pd5 0.500 0.000 0.128
Pd6 0.500 0.000 0.385
Pd7 0.500 0.000 0.615
Pd8 0.500 0.000 0.872
Pd9 0.500 0.500 0.000
Pd10 0.500 0.500 0.256
Pd11 0.500 0.500 0.500
Pd12 0.500 0.500 0.744



Computed, not measured: SmHfZnPd after structural relaxation at the GGA-PBE level of DFT.

Output
electronic total energy = -5.62 eV/atom
DFT formation energy = -0.331 eV per atom

Unit cell a=4.900 b=4.900 c=4.900 alpha=60.00 beta=60.00 gamma=60.00
Element x y z (fractional)
Sm1 0.000 0.000 0.000
Hf1 0.500 0.500 0.500
Zn1 0.250 0.250 0.250
Pd1 0.750 0.750 0.750



Computed, not measured: HfSnPd3 after structural relaxation at the GGA-PBE level of DFT.

Output
electronic total energy = -5.52 eV/atom
offset from the most stable computed form = 0.990 eV per atom
DFT formation energy = 0.386 eV per atom

Unit cell a=4.926 b=4.926 c=4.926 alpha=90.00 beta=90.00 gamma=90.00
Element x y z (fractional)
Hf1 0.000 0.000 0.000
Sn1 0.500 0.500 0.500
Pd1 0.000 0.000 0.500
Pd2 0.000 0.500 0.000
Pd3 0.500 0.000 0.000



Computed, not measured: HfSn3Pd6 after structural relaxation at the GGA-PBE level of DFT.

Output
electronic total energy = -5.80 eV/atom
DFT formation energy = -0.486 eV per atom

Unit cell a=8.934 b=4.343 c=10.234 alpha=90.00 beta=105.65 gamma=90.00
Element x y z (fractional)
Hf1 0.107 0.250 0.220
Hf2 0.893 0.750 0.780
Sn1 0.201 0.750 0.659
Sn2 0.311 0.250 0.027
Sn3 0.424 0.250 0.577
Sn4 0.576 0.750 0.423
Sn5 0.689 0.750 0.973
Sn6 0.799 0.250 0.341
Pd1 0.083 0.250 0.791
Pd2 0.106 0.250 0.495
Pd3 0.110 0.750 0.027
Pd4 0.243 0.750 0.377
Pd5 0.383 0.750 0.905
Pd6 0.425 0.250 0.301
Pd7 0.575 0.750 0.699
Pd8 0.617 0.250 0.095
Pd9 0.757 0.250 0.623
Pd10 0.890 0.250 0.973
Pd11 0.894 0.750 0.505
Pd12 0.917 0.750 0.209



Computed, not measured: Hf2Sn5Pd12 after structural relaxation at the GGA-PBE level of DFT.

Output
electronic total energy = -5.92 eV/atom
DFT formation energy = -0.536 eV per atom

Unit cell a=7.818 b=7.818 c=6.421 alpha=92.90 beta=92.90 gamma=60.00
Element x y z (fractional)
Hf1 0.229 0.771 0.000
Hf2 0.771 0.229 0.000
Sn1 0.000 0.000 0.500
Sn2 0.249 0.249 0.542
Sn3 0.331 0.331 0.068
Sn4 0.669 0.669 0.932
Sn5 0.751 0.751 0.458
Pd1 0.031 0.590 0.790
Pd2 0.134 0.134 0.886
Pd3 0.183 0.616 0.385
Pd4 0.384 0.817 0.615
Pd5 0.410 0.969 0.210
Pd6 0.450 0.450 0.735
Pd7 0.550 0.550 0.265
Pd8 0.590 0.031 0.790
Pd9 0.616 0.183 0.385
Pd10 0.817 0.384 0.615
Pd11 0.866 0.866 0.114
Pd12 0.969 0.410 0.210



Computed, not measured: Hf4Sn2Pd after structural relaxation at the GGA-PBE level of DFT.

Output
electronic total energy = -7.78 eV/atom
offset from the most stable computed form = 0.000 eV per atom
DFT formation energy = -0.203 eV per atom

Unit cell a=7.493 b=7.493 c=7.559 alpha=118.93 beta=118.93 gamma=24.83
Element x y z (fractional)
Hf1 0.086 0.086 0.223
Hf2 0.386 0.386 0.111
Hf3 0.614 0.614 0.889
Hf4 0.914 0.914 0.777
Sn1 0.214 0.214 0.684
Sn2 0.786 0.786 0.316
Pd1 0.000 0.000 0.500



Computed, not measured: Hf2Sn3Pd8 after structural relaxation at the GGA-PBE level of DFT.

Output
electronic total energy = -6.02 eV/atom
DFT formation energy = -0.366 eV per atom

Unit cell a=10.525 b=10.525 c=10.525 alpha=29.20 beta=29.20 gamma=29.20
Element x y z (fractional)
Hf1 0.133 0.133 0.133
Hf2 0.867 0.867 0.867
Sn1 0.310 0.310 0.310
Sn2 0.500 0.500 0.500
Sn3 0.690 0.690 0.690
Pd1 0.220 0.220 0.220
Pd2 0.228 0.228 0.724
Pd3 0.228 0.724 0.228
Pd4 0.276 0.772 0.772
Pd5 0.724 0.228 0.228
Pd6 0.772 0.276 0.772
Pd7 0.772 0.772 0.276
Pd8 0.780 0.780 0.780



Computed, not measured: Hf2SnPd after structural relaxation at the GGA-PBE level of DFT.

Output
electronic total energy = -7.72 eV/atom
DFT formation energy = -0.443 eV per atom

Unit cell a=4.308 b=4.308 c=4.258 alpha=90.00 beta=90.00 gamma=90.00
Element x y z (fractional)
Hf1 0.000 0.500 0.000
Hf2 0.500 0.000 0.000
Sn1 0.000 0.000 0.500
Pd1 0.500 0.500 0.500



Computed, not measured: Hf4Sn2Pd after structural relaxation at the GGA-PBE level of DFT.

Output
electronic total energy = -7.39 eV/atom
offset from the most stable computed form = 0.387 eV per atom
DFT formation energy = 0.184 eV per atom

Unit cell a=8.318 b=8.318 c=8.318 alpha=146.03 beta=146.03 gamma=48.81
Element x y z (fractional)
Hf1 0.000 0.500 0.500
Hf2 0.172 0.172 0.000
Hf3 0.500 0.000 0.500
Hf4 0.828 0.828 0.000
Sn1 0.363 0.363 0.000
Sn2 0.637 0.637 0.000
Pd1 0.000 0.000 0.000



Computed, not measured: Hf2Sn2Pd after structural relaxation at the GGA-PBE level of DFT.

Output
electronic total energy = -6.93 eV/atom
DFT formation energy = -0.310 eV per atom

Unit cell a=6.960 b=6.960 c=4.367 alpha=90.00 beta=90.00 gamma=90.00
Element x y z (fractional)
Hf1 0.165 0.335 0.000
Hf2 0.335 0.835 0.000
Hf3 0.665 0.165 0.000
Hf4 0.835 0.665 0.000
Sn1 0.143 0.643 0.500
Sn2 0.357 0.143 0.500
Sn3 0.643 0.857 0.500
Sn4 0.857 0.357 0.500
Pd1 0.000 0.000 0.500
Pd2 0.500 0.500 0.500



Computed, not measured: Hf6SnPd after structural relaxation at the GGA-PBE level of DFT.

Output
electronic total energy = -8.87 eV/atom
DFT formation energy = -0.252 eV per atom

Unit cell a=5.505 b=5.505 c=5.505 alpha=90.02 beta=90.02 gamma=90.02
Element x y z (fractional)
Hf1 0.001 0.746 0.499
Hf2 0.254 0.501 0.999
Hf3 0.499 0.001 0.746
Hf4 0.501 0.999 0.254
Hf5 0.746 0.499 0.001
Hf6 0.999 0.254 0.501
Sn1 0.000 0.000 0.000
Pd1 0.500 0.500 0.500



Computed, not measured: Hf12Sn6Pd after structural relaxation at the GGA-PBE level of DFT.

Output
electronic total energy = -7.74 eV/atom
DFT formation energy = 0.084 eV per atom

Unit cell a=7.995 b=7.995 c=7.995 alpha=102.32 beta=102.32 gamma=102.32
Element x y z (fractional)
Hf1 0.015 0.959 0.675
Hf2 0.041 0.325 0.985
Hf3 0.215 0.510 0.387
Hf4 0.325 0.985 0.041
Hf5 0.387 0.215 0.510
Hf6 0.490 0.613 0.785
Hf7 0.510 0.387 0.215
Hf8 0.613 0.785 0.490
Hf9 0.675 0.015 0.959
Hf10 0.785 0.490 0.613
Hf11 0.959 0.675 0.015
Hf12 0.985 0.041 0.325
Sn1 0.108 0.347 0.653
Sn2 0.347 0.653 0.108
Sn3 0.347 0.892 0.653
Sn4 0.653 0.108 0.347
Sn5 0.653 0.347 0.892
Sn6 0.892 0.653 0.347
Pd1 0.000 0.000 0.000



Computed, not measured: HfSn3Pd after structural relaxation at the GGA-PBE level of DFT.

Output
electronic total energy = -4.98 eV/atom
offset from the most stable computed form = 0.000 eV per atom
DFT formation energy = 0.448 eV per atom

Unit cell a=5.135 b=5.135 c=5.135 alpha=90.00 beta=90.00 gamma=90.00
Element x y z (fractional)
Hf1 0.000 0.000 0.000
Sn1 0.000 0.500 0.500
Sn2 0.500 0.000 0.500
Sn3 0.500 0.500 0.000
Pd1 0.500 0.500 0.500



Computed, not measured: HfSnPd3 after structural relaxation at the GGA-PBE level of DFT.

Output
electronic total energy = -6.51 eV/atom
offset from the most stable computed form = 0.000 eV per atom
DFT formation energy = -0.604 eV per atom

Unit cell a=7.370 b=7.370 c=5.711 alpha=110.55 beta=110.55 gamma=38.02
Element x y z (fractional)
Hf1 0.092 0.092 0.380
Hf2 0.908 0.908 0.620
Sn1 0.317 0.317 0.840
Sn2 0.683 0.683 0.160
Pd1 0.123 0.123 0.888
Pd2 0.304 0.304 0.340
Pd3 0.499 0.499 0.253
Pd4 0.501 0.501 0.747
Pd5 0.696 0.696 0.660
Pd6 0.877 0.877 0.112



Computed, not measured: HfSnPd3 after structural relaxation at the GGA-PBE level of DFT.

Output
electronic total energy = -5.44 eV/atom
offset from the most stable computed form = 1.072 eV per atom
DFT formation energy = 0.468 eV per atom

Unit cell a=4.834 b=4.834 c=4.834 alpha=90.00 beta=90.00 gamma=90.00
Element x y z (fractional)
Hf1 0.000 0.000 0.000
Sn1 0.500 0.500 0.500
Pd1 0.000 0.500 0.500
Pd2 0.500 0.000 0.500
Pd3 0.500 0.500 0.000



Computed, not measured: Hf6SnPd12 after structural relaxation at the GGA-PBE level of DFT.

Output
electronic total energy = -7.22 eV/atom
DFT formation energy = -0.589 eV per atom

Unit cell a=7.002 b=7.002 c=7.002 alpha=93.93 beta=93.93 gamma=93.93
Element x y z (fractional)
Hf1 0.189 0.356 0.751
Hf2 0.249 0.811 0.644
Hf3 0.356 0.751 0.189
Hf4 0.644 0.249 0.811
Hf5 0.751 0.189 0.356
Hf6 0.811 0.644 0.249
Sn1 0.500 0.500 0.500
Pd1 0.030 0.708 0.959
Pd2 0.041 0.970 0.292
Pd3 0.131 0.465 0.371
Pd4 0.292 0.041 0.970
Pd5 0.371 0.131 0.465
Pd6 0.465 0.371 0.131
Pd7 0.535 0.629 0.869
Pd8 0.629 0.869 0.535
Pd9 0.708 0.959 0.030
Pd10 0.869 0.535 0.629
Pd11 0.959 0.030 0.708
Pd12 0.970 0.292 0.041



Computed, not measured: Hf3SnPd after structural relaxation at the GGA-PBE level of DFT.

Output
electronic total energy = -8.14 eV/atom
offset from the most stable computed form = 0.000 eV per atom
DFT formation energy = -0.327 eV per atom

Unit cell a=5.887 b=5.887 c=11.873 alpha=105.80 beta=105.80 gamma=32.24
Element x y z (fractional)
Hf1 0.055 0.055 0.383
Hf2 0.131 0.131 0.969
Hf3 0.330 0.330 0.240
Hf4 0.670 0.670 0.760
Hf5 0.869 0.869 0.031
Hf6 0.945 0.945 0.617
Sn1 0.416 0.416 0.823
Sn2 0.584 0.584 0.177
Pd1 0.221 0.221 0.593
Pd2 0.779 0.779 0.407



Computed, not measured: Hf2SnPd after structural relaxation at the GGA-PBE level of DFT.

Output
electronic total energy = -7.68 eV/atom
DFT formation energy = -0.408 eV per atom

Unit cell a=3.124 b=3.124 c=8.183 alpha=90.00 beta=90.00 gamma=90.00
Element x y z (fractional)
Hf1 0.000 0.000 0.226
Hf2 0.000 0.000 0.774
Sn1 0.500 0.500 0.500
Pd1 0.500 0.500 0.000



Computed, not measured: Hf2SnPd9 after structural relaxation at the GGA-PBE level of DFT.

Output
electronic total energy = -6.65 eV/atom
DFT formation energy = -0.761 eV per atom

Unit cell a=4.018 b=4.018 c=12.084 alpha=90.00 beta=90.00 gamma=90.00
Element x y z (fractional)
Hf1 0.000 0.000 0.167
Hf2 0.000 0.000 0.833
Sn1 0.000 0.000 0.500
Pd1 0.000 0.500 0.000
Pd2 0.000 0.500 0.329
Pd3 0.000 0.500 0.671
Pd4 0.500 0.000 0.000
Pd5 0.500 0.000 0.329
Pd6 0.500 0.000 0.671
Pd7 0.500 0.500 0.165
Pd8 0.500 0.500 0.500
Pd9 0.500 0.500 0.835



Computed, not measured: HfSn2Pd after structural relaxation at the GGA-PBE level of DFT.

Output
electronic total energy = -6.15 eV/atom
offset from the most stable computed form = 0.000 eV per atom
DFT formation energy = -0.358 eV per atom

Unit cell a=4.517 b=4.517 c=3.979 alpha=90.00 beta=90.00 gamma=90.00
Element x y z (fractional)
Hf1 0.000 0.000 0.000
Sn1 0.000 0.500 0.500
Sn2 0.500 0.000 0.500
Pd1 0.500 0.500 0.000



| no. | Fermi-level density of states (states/eV/f.u.) |
| --- | --- |
| 1 | 4.4 |
| 2 | 0.9 |
| 3 | 7.2 |
| 4 | 4.9 |
| 5 | 2.4 |
| 6 | 3.9 |
| 7 | 6.3 |
| 8 | 5.2 |
| 9 | 6.2 |
| 10 | 4.7 |
| 11 | 3.1 |
| 12 | 3.4 |
| 13 | 10.0 |
| 14 | 14.7 |
| 15 | 5.9 |
| 16 | 2.5 |
| 17 | 3.3 |
| 18 | 11.4 |
| 19 | 2.8 |
| 20 | 3.3 |
| 21 | 2.8 |
| 22 | 1.2 |